Below is a relaxed structure of Sm6GeIr2Cl3, with properties calculated at the PBE level.

Cell and atoms, written as extended XYZ:
```
12
Lattice="9.480 -2.062 0.000 9.480 2.062 0.000 -2.534 0.000 8.340" Properties=species:S:1:pos:R:3 pbc="T T T"
Sm -0.297 0.000 2.032
Sm 5.049 0.000 3.618
Sm 4.202 0.000 7.320
Sm 12.224 0.000 1.020
Sm 11.377 0.000 4.722
Sm 16.723 0.000 6.309
Ge 9.480 0.000 0.000
Ir 2.339 0.000 2.862
Ir 14.087 0.000 5.479
Cl 0.861 0.000 7.012
Cl 8.213 0.000 4.170
Cl 15.565 0.000 1.328
```

* formation energy from raw total energies: -115.6 kJ/mol of atoms
* space-group type: C2/m (12)
* M_tot: 0.000 μB/atom
* calculated total energy: -5.88 eV per atom



Below is a relaxed structure of CeSm2InN, with properties calculated at the PBE level.

Cell and atoms, written as extended XYZ:
```
5
Lattice="4.998 0.000 0.000 0.000 4.998 0.000 0.000 0.000 4.848" Properties=species:S:1:pos:R:3 pbc="T T T"
Ce 0.000 0.000 0.000
Sm 0.000 2.499 2.424
Sm 2.499 0.000 2.424
In 2.499 2.499 0.000
N 0.000 0.000 2.424
```

* formation energy from raw total energies: -83.2 kJ/mol of atoms
* space-group type: P4/mmm (123)
* M_tot: 0.133 μB/atom
* calculated total energy: -6.15 eV per atom



Below is a relaxed structure of ZrInBr2, with properties calculated at the PBE level.

Cell and atoms, written as extended XYZ:
```
16
Lattice="9.283 0.000 0.000 0.000 9.283 0.000 0.000 0.000 6.171" Properties=species:S:1:pos:R:3 pbc="T T T"
Zr 0.000 0.000 0.000
Zr 0.000 4.641 1.543
Zr 4.641 0.000 4.628
Zr 4.641 4.641 3.085
In 0.000 0.000 3.085
In 0.000 4.641 4.628
In 4.641 0.000 1.543
In 4.641 4.641 0.000
Br 1.188 2.321 0.771
Br 2.321 5.830 2.314
Br 2.321 8.095 5.400
Br 3.453 2.321 3.857
Br 5.830 6.962 3.857
Br 6.962 1.188 5.400
Br 6.962 3.453 2.314
Br 8.095 6.962 0.771
```

* formation energy from raw total energies: -38.4 kJ/mol of atoms
* space-group type: I-42d (122)
* M_tot: 0.382 μB/atom
* polymorph energy (0 for the lowest one): 362.5 meV per atom
* calculated total energy: -4.06 eV per atom



Below is a relaxed structure of YTiPPt2, with properties calculated at the PBE level.

Cell and atoms, written as extended XYZ:
```
5
Lattice="4.532 0.000 0.000 0.000 4.532 0.000 0.000 0.000 4.992" Properties=species:S:1:pos:R:3 pbc="T T T"
Y 0.000 0.000 0.000
Ti 2.266 2.266 0.000
P 0.000 0.000 2.496
Pt 0.000 2.266 2.496
Pt 2.266 0.000 2.496
```

* space-group type: P4/mmm (123)
* M_tot: 0.000 μB/atom
* calculated formation energy: -0.12 eV/atom
* calculated total energy: -6.49 eV per atom



Below is a relaxed structure of NaErCd14, with properties calculated at the PBE level.

Cell and atoms, written as extended XYZ:
```
16
Lattice="6.515 0.000 0.000 0.000 6.515 0.000 0.000 0.000 8.715" Properties=species:S:1:pos:R:3 pbc="T T T"
Na 0.000 0.000 0.000
Er 3.257 3.257 0.000
Cd 0.000 0.000 4.358
Cd 0.000 3.257 0.000
Cd 0.000 3.257 4.358
Cd 1.621 1.621 2.231
Cd 1.621 1.621 6.484
Cd 1.621 4.894 2.231
Cd 1.621 4.894 6.484
Cd 3.257 0.000 0.000
Cd 3.257 0.000 4.358
Cd 3.257 3.257 4.358
Cd 4.894 1.621 2.231
Cd 4.894 1.621 6.484
Cd 4.894 4.894 2.231
Cd 4.894 4.894 6.484
```

* space-group type: P4/mmm (123)
* M_tot: 0.000 μB/atom
* calculated formation energy: -0.08 eV/atom
* calculated total energy: -1.25 eV per atom



Below is a relaxed structure of ScPOsRh2, with properties calculated at the PBE level.

Cell and atoms, written as extended XYZ:
```
5
Lattice="4.281 0.000 0.000 0.000 4.281 0.000 0.000 0.000 4.760" Properties=species:S:1:pos:R:3 pbc="T T T"
Sc 0.000 0.000 0.000
P 0.000 0.000 2.380
Os 2.141 2.141 0.000
Rh 0.000 2.141 2.380
Rh 2.141 0.000 2.380
```

* space-group type: P4/mmm (123)
* M_tot: 0.276 μB/atom
* calculated formation energy: 0.34 eV/atom
* calculated total energy: -7.20 eV per atom



Below is a relaxed structure of Tm6BSe4, with properties calculated at the PBE level.

Cell and atoms, written as extended XYZ:
```
22
Lattice="5.567 3.214 4.620 -5.567 3.214 4.620 0.000 -6.429 4.620" Properties=species:S:1:pos:R:3 pbc="T T T"
Tm -4.872 -1.360 7.806
Tm -1.258 -4.899 6.055
Tm -1.258 -1.530 5.496
Tm -3.614 3.539 6.055
Tm -0.696 1.854 5.496
Tm -1.954 0.325 8.365
Tm 1.954 -0.325 5.496
Tm 0.696 -1.854 8.365
Tm 3.614 -3.539 7.806
Tm 1.258 1.530 8.365
Tm 1.258 4.899 7.806
Tm 4.872 1.360 6.055
B 0.000 0.000 0.000
B 0.000 0.000 6.930
Se -3.497 0.371 5.775
Se 0.000 0.000 3.465
Se -2.070 -2.843 8.085
Se 1.427 -3.214 5.775
Se -1.427 3.214 8.085
Se 2.070 2.843 5.775
Se 0.000 0.000 10.395
Se 3.497 -0.371 8.085
```

* formation energy from raw total energies: -103.3 kJ/mol of atoms
* space-group type: R-3c (167)
* M_tot: 0.000 μB/atom
* calculated total energy: -5.38 eV per atom



Below is a relaxed structure of SrLi7Cd4, with properties calculated at the PBE level.

Cell and atoms, written as extended XYZ:
```
12
Lattice="6.691 -2.610 0.000 6.691 2.610 0.000 -5.935 0.000 7.676" Properties=species:S:1:pos:R:3 pbc="T T T"
Sr 0.000 0.000 0.000
Li -1.746 0.000 3.065
Li -2.159 0.000 6.649
Li 2.114 0.000 2.955
Li 6.691 0.000 0.000
Li 5.332 0.000 4.721
Li 9.606 0.000 1.027
Li 9.193 0.000 4.612
Cd 0.202 0.000 4.974
Cd 4.491 0.000 1.664
Cd 2.956 0.000 6.013
Cd 7.245 0.000 2.703
```

* space-group type: C2/m (12)
* M_tot: 0.000 μB/atom
* calculated formation energy: -0.08 eV/atom
* calculated total energy: -1.64 eV per atom



> Look up the calculated total energy of the third one.

-4.06 eV per atom